[1]
32
Lattice="4.506 2.601 9.283 -4.506 2.601 9.283 0.000 -5.203 9.283" Properties=species:S:1:pos:R:3 comment="PrRe3O12 (GGA-PBE, optimized geometry)" spacegroup=R3c formation_energy_uncorrected_kcal_per_mol_atoms=-43.858 pbc="T T T"
Pr 0.000 0.000 0.000
Pr 0.000 0.000 13.924
Re -1.231 -2.557 10.975
Re -2.907 -0.257 15.616
Re -1.598 2.345 10.975
Re 1.676 -2.390 15.616
Re 2.830 0.212 10.975
Re 1.231 2.646 15.616
O -1.776 0.844 6.040
O 0.157 -1.960 6.040
O -0.268 -2.573 9.501
O -3.157 -1.417 16.936
O -2.412 -1.083 14.143
O -2.094 1.519 9.501
O -0.351 -1.760 12.294
O -2.969 -1.775 20.522
O -1.349 1.184 12.294
O -1.537 0.826 15.881
O 0.053 -1.744 15.881
O 1.619 1.116 6.040
O -0.157 -1.960 19.964
O -1.619 1.116 19.964
O 2.144 -1.548 14.143
O 1.700 0.576 12.294
O 2.362 1.054 9.501
O 0.268 2.630 14.143
O 2.806 -2.026 16.936
O 1.484 0.918 15.881
O 0.351 3.443 16.936
O -0.053 3.459 20.522
O 3.022 -1.683 20.522
O 1.776 0.844 19.964



[2]
12
Lattice="3.120 -5.405 0.000 3.120 5.405 0.000 -2.078 0.000 11.721" Properties=species:S:1:pos:R:3 comment="La2PrDy6Y3 (GGA-PBE, optimized geometry)" final_energy_ev_per_atom=-5.11 spacegroup=C2/m pbc="T T T"
La 3.120 3.605 0.000
La 3.120 -3.605 0.000
Pr 3.120 0.000 0.000
Dy -0.002 1.800 8.738
Dy 1.047 0.000 2.983
Dy -0.002 -1.800 8.738
Dy 4.164 1.800 2.983
Dy 3.115 0.000 8.738
Dy 4.164 -1.800 2.983
Y -1.039 0.000 5.861
Y 2.081 1.800 5.861
Y 2.081 -1.800 5.861



[3]
4
Lattice="1.572 -3.036 0.000 1.572 3.036 0.000 0.000 0.000 12.062" Properties=species:S:1:pos:R:3 comment="TaTeBr2 (GGA-PBE, optimized geometry)" de_polymorph_ev_per_fu=1.81 spacegroup=Cmmm formation_energy_uncorrected_kcal_per_mol_atoms=0.319 pbc="T T T"
Ta 0.000 0.000 0.000
Te 0.000 0.000 6.031
Br 1.572 0.000 2.099
Br 1.572 0.000 9.962



no.,DOS(E_F) (states/eV/cell)
1,0.00
2,17.20
3,3.88